Entry 1:
Entry from Alexandria: an optimized crystal structure of Sm7Dy3Tm2 (PBE).

Values from the calculation:
Polymorph energy (0 for the lowest one) = 0 meV/atom
Fermi-level density of states = 18.584 states/eV/cell

a = 19.213 Å, b = 19.213 Å, c = 3.605 Å
α = 90.00°, β = 90.00°, γ = 162.78°
Fractional coordinates of all 12 atoms:
Sm 0.000 0.000 0.000
Sm 0.073 0.927 0.500
Sm 0.232 0.768 0.000
Sm 0.407 0.593 0.000
Sm 0.593 0.407 0.000
Sm 0.768 0.232 0.000
Sm 0.927 0.073 0.500
Dy 0.315 0.685 0.500
Dy 0.500 0.500 0.500
Dy 0.685 0.315 0.500
Tm 0.149 0.851 0.000
Tm 0.851 0.149 0.000

***

Entry 2:
Entry from Alexandria: an optimized crystal structure of Sm7Dy4Tm (PBE).

Values from the calculation:
Polymorph energy (0 for the lowest one) = 222 meV/atom
Fermi-level density of states = 18.908 states/eV/cell

a = 8.582 Å, b = 8.582 Å, c = 9.322 Å
α = 114.27°, β = 114.27°, γ = 40.54°
Fractional coordinates of all 12 atoms:
Sm 0.000 0.000 0.000
Sm 0.289 0.289 0.121
Sm 0.292 0.292 0.770
Sm 0.418 0.418 0.559
Sm 0.582 0.582 0.441
Sm 0.708 0.708 0.230
Sm 0.711 0.711 0.879
Dy 0.073 0.073 0.698
Dy 0.173 0.173 0.389
Dy 0.827 0.827 0.611
Dy 0.927 0.927 0.302
Tm 0.500 0.500 0.000

***

Entry 3:
Entry from Alexandria: an optimized crystal structure of SmDy5Tm5 (PBE).

Values from the calculation:
Polymorph energy (0 for the lowest one) = 0 meV/atom
Fermi-level density of states = 16.034 states/eV/cell

a = 6.780 Å, b = 6.924 Å, c = 8.240 Å
α = 76.33°, β = 76.89°, γ = 72.74°
Fractional coordinates of all 11 atoms:
Sm 0.000 0.000 0.000
Dy 0.000 0.500 0.000
Dy 0.157 0.630 0.358
Dy 0.324 0.766 0.656
Dy 0.676 0.234 0.344
Dy 0.843 0.370 0.642
Tm 0.210 0.138 0.317
Tm 0.353 0.250 0.716
Tm 0.500 0.500 0.000
Tm 0.647 0.750 0.284
Tm 0.790 0.862 0.683

***

Entry 4:
Entry from Alexandria: an optimized crystal structure of Sm5Dy2Tm3 (PBE).

Values from the calculation:
Polymorph energy (0 for the lowest one) = 0 meV/atom
Fermi-level density of states = 36.197 states/eV/cell

a = 9.343 Å, b = 9.343 Å, c = 9.695 Å
α = 108.40°, β = 108.40°, γ = 110.16°
Fractional coordinates of all 20 atoms:
Sm 0.027 0.973 0.750
Sm 0.147 0.374 0.771
Sm 0.233 0.767 0.750
Sm 0.271 0.729 0.250
Sm 0.374 0.147 0.271
Sm 0.626 0.853 0.729
Sm 0.729 0.271 0.750
Sm 0.767 0.233 0.250
Sm 0.853 0.626 0.229
Sm 0.973 0.027 0.250
Dy 0.226 0.464 0.450
Dy 0.464 0.226 0.950
Dy 0.536 0.774 0.050
Dy 0.774 0.536 0.550
Tm 0.025 0.268 0.051
Tm 0.268 0.025 0.551
Tm 0.470 0.530 0.250
Tm 0.530 0.470 0.750
Tm 0.732 0.975 0.449
Tm 0.975 0.732 0.949

***

Entry 5:
Entry from Alexandria: an optimized crystal structure of Sm3Dy8Tm4 (PBE).

Values from the calculation:
Fermi-level density of states = 27.724 states/eV/cell

a = 9.223 Å, b = 9.223 Å, c = 6.696 Å
α = 111.20°, β = 111.20°, γ = 87.08°
Fractional coordinates of all 15 atoms:
Sm 0.000 0.000 0.000
Sm 0.000 0.500 0.000
Sm 0.500 0.000 0.000
Dy 0.143 0.857 0.500
Dy 0.228 0.228 0.932
Dy 0.246 0.246 0.471
Dy 0.250 0.750 0.000
Dy 0.750 0.250 0.000
Dy 0.754 0.754 0.529
Dy 0.772 0.772 0.068
Dy 0.857 0.143 0.500
Tm 0.000 0.500 0.500
Tm 0.500 0.000 0.500
Tm 0.500 0.500 0.000
Tm 0.500 0.500 0.500

***

Entry 6:
Entry from Alexandria: an optimized crystal structure of Sm4Dy3Tm4 (PBE).

Values from the calculation:
Polymorph energy (0 for the lowest one) = 0 meV/atom
Fermi-level density of states = 13.597 states/eV/cell

a = 19.787 Å, b = 19.787 Å, c = 19.787 Å
α = 169.69°, β = 165.44°, γ = 17.87°
Fractional coordinates of all 11 atoms:
Sm 0.046 0.046 0.000
Sm 0.318 0.318 0.000
Sm 0.682 0.682 0.000
Sm 0.954 0.954 0.000
Dy 0.136 0.136 0.000
Dy 0.500 0.500 0.000
Dy 0.864 0.864 0.000
Tm 0.228 0.228 0.000
Tm 0.408 0.408 0.000
Tm 0.592 0.592 0.000
Tm 0.772 0.772 0.000

***

Entry 7:
Entry from Alexandria: an optimized crystal structure of Sm2Dy5Tm6 (PBE).

Values from the calculation:
Fermi-level density of states = 32.334 states/eV/cell

a = 11.566 Å, b = 20.083 Å, c = 3.547 Å
α = 90.00°, β = 90.00°, γ = 90.00°
Fractional coordinates of all 26 atoms:
Sm 0.169 0.213 0.000
Sm 0.331 0.713 0.000
Sm 0.669 0.287 0.000
Sm 0.831 0.787 0.000
Dy 0.000 0.500 0.500
Dy 0.089 0.775 0.500
Dy 0.199 0.049 0.500
Dy 0.301 0.549 0.500
Dy 0.411 0.275 0.500
Dy 0.500 0.000 0.500
Dy 0.589 0.725 0.500
Dy 0.699 0.451 0.500
Dy 0.801 0.951 0.500
Dy 0.911 0.225 0.500
Tm 0.059 0.920 0.000
Tm 0.080 0.632 0.000
Tm 0.177 0.369 0.500
Tm 0.323 0.869 0.500
Tm 0.420 0.132 0.000
Tm 0.441 0.420 0.000
Tm 0.559 0.580 0.000
Tm 0.580 0.868 0.000
Tm 0.677 0.131 0.500
Tm 0.823 0.631 0.500
Tm 0.920 0.368 0.000
Tm 0.941 0.080 0.000

***

Entry 8:
Entry from Alexandria: an optimized crystal structure of Sm12Dy5Tm (PBE).

Values from the calculation:
Fermi-level density of states = 25.707 states/eV/cell

a = 10.783 Å, b = 10.783 Å, c = 5.089 Å
α = 90.00°, β = 90.00°, γ = 90.09°
Fractional coordinates of all 18 atoms:
Sm 0.001 0.668 0.500
Sm 0.165 0.165 0.000
Sm 0.167 0.501 0.000
Sm 0.332 0.999 0.500
Sm 0.334 0.334 0.500
Sm 0.499 0.833 0.000
Sm 0.501 0.167 0.000
Sm 0.666 0.666 0.500
Sm 0.668 0.001 0.500
Sm 0.833 0.499 0.000
Sm 0.835 0.835 0.000
Sm 0.999 0.332 0.500
Dy 0.166 0.834 0.000
Dy 0.333 0.667 0.500
Dy 0.500 0.500 0.000
Dy 0.667 0.333 0.500
Dy 0.834 0.166 0.000
Tm 0.000 0.000 0.500

***

Entry 9:
Entry from Alexandria: an optimized crystal structure of Sm4DyTm6 (PBE).

Values from the calculation:
Polymorph energy (0 for the lowest one) = 167 meV/atom
Fermi-level density of states = 14.072 states/eV/cell

a = 8.444 Å, b = 8.444 Å, c = 8.444 Å
α = 126.21°, β = 126.21°, γ = 79.54°
Fractional coordinates of all 11 atoms:
Sm 0.250 0.250 0.652
Sm 0.402 0.750 0.000
Sm 0.598 0.598 0.348
Sm 0.750 0.402 0.000
Dy 0.000 0.000 0.000
Tm 0.000 0.500 0.500
Tm 0.063 0.573 0.000
Tm 0.427 0.427 0.490
Tm 0.500 0.000 0.500
Tm 0.573 0.063 0.000
Tm 0.937 0.937 0.510

***

Entry 10:
Entry from Alexandria: an optimized crystal structure of SmDy6Tm2 (PBE).

Values from the calculation:
Polymorph energy (0 for the lowest one) = 0 meV/atom
Fermi-level density of states = 11.142 states/eV/cell

a = 3.538 Å, b = 7.907 Å, c = 10.597 Å
α = 102.75°, β = 90.12°, γ = 102.92°
Fractional coordinates of all 9 atoms:
Sm 0.000 0.000 0.000
Dy 0.001 0.001 0.666
Dy 0.333 0.665 0.778
Dy 0.333 0.666 0.444
Dy 0.667 0.334 0.556
Dy 0.667 0.335 0.222
Dy 0.999 0.999 0.334
Tm 0.332 0.665 0.111
Tm 0.668 0.335 0.889

***

Entry 11:
Entry from Alexandria: an optimized crystal structure of Sm4Dy7Tm (PBE).

Values from the calculation:
Polymorph energy (0 for the lowest one) = 191 meV/atom
Fermi-level density of states = 20.181 states/eV/cell

a = 6.713 Å, b = 6.713 Å, c = 12.731 Å
α = 115.00°, β = 115.00°, γ = 52.20°
Fractional coordinates of all 12 atoms:
Sm 0.056 0.056 0.332
Sm 0.365 0.365 0.223
Sm 0.635 0.635 0.777
Sm 0.944 0.944 0.668
Dy 0.000 0.000 0.000
Dy 0.212 0.212 0.924
Dy 0.257 0.257 0.689
Dy 0.364 0.364 0.495
Dy 0.636 0.636 0.505
Dy 0.743 0.743 0.311
Dy 0.788 0.788 0.076
Tm 0.500 0.500 0.000

***

Entry 12:
Entry from Alexandria: an optimized crystal structure of Sm2DyTm4 (PBE).

Values from the calculation:
Polymorph energy (0 for the lowest one) = 0 meV/atom
Fermi-level density of states = 11.257 states/eV/cell

a = 3.585 Å, b = 3.585 Å, c = 19.898 Å
α = 95.17°, β = 95.17°, γ = 60.01°
Fractional coordinates of all 7 atoms:
Sm 0.000 0.000 0.000
Sm 0.096 0.096 0.289
Dy 0.905 0.905 0.714
Tm 0.191 0.191 0.573
Tm 0.286 0.286 0.856
Tm 0.714 0.714 0.144
Tm 0.811 0.811 0.434

***

It is found that the size of the total moment values, taken in the order of the records, are 0.00, 0.26, 0.00, 0.00, 0.00, 0.00, 0.00, 0.00, 0.00, 0.00, 0.00, 0.00 μB/cell.
It is found that the ΔE_f values, taken in the order of the records, are 1.36, 2.73, 1.61, 1.94, 6.06, 0.22, 1.31, 0.32, 5.17, 0.16, 3.36, 0.05 eV/f.u..